Computed, not measured: a geometry-optimized Zr3MoPd structure at the GGA-PBE level of DFT.

The calculation puts the density of states at the Fermi level at 7.72 states/eV per cell. The calculated total energy comes out at -37.09 eV/f.u. The energy above the most stable polymorph in this dataset comes out at 0.194 eV/atom.

Unit cell a=5.0032 b=5.0032 c=5.0032 alpha=90.00 beta=90.00 gamma=90.00
Closest atoms and distances in Å follow each position.
Space group Pm-3m (No. 221)
Inequivalent atoms, fractional coordinates:
Zr1 0.0000 0.0000 0.5000 (multiplicity 3)  2 Pd 2.50
Mo1 0.5000 0.5000 0.5000 (multiplicity 1)  12 Zr 3.54
Pd1 0.0000 0.0000 0.0000 (multiplicity 1)  6 Zr 2.50


Computed, not measured: a geometry-optimized MnAl4Pb structure at the GGA-PBE level of DFT.

The calculation puts the density of states at the Fermi level at 15.01 states/eV per cell. The calculated total energy comes out at -26.28 eV/f.u.

Unit cell a=7.7093 b=7.7093 c=7.7093 alpha=90.00 beta=90.00 gamma=90.00
Closest atoms and distances in Å follow each position.
Space group F-43m (No. 216)
Inequivalent atoms, fractional coordinates:
Mn1 0.0000 0.0000 0.0000 (multiplicity 4)  12 Al 3.19, 4 Pb 3.34
Al1 0.1258 0.1258 0.3742 (multiplicity 16)  6 Al 2.71-2.74
Pb1 0.2500 0.2500 0.7500 (multiplicity 4)  12 Al 3.20, 4 Mn 3.34


Computed, not measured: a geometry-optimized TaAgAu2 structure at the GGA-PBE level of DFT.

The calculation puts the density of states at the Fermi level at 3.34 states/eV per cell. The calculated total energy comes out at -20.58 eV/f.u.

Unit cell a=4.3071 b=4.3071 c=7.5776 alpha=90.00 beta=90.00 gamma=90.00
Closest atoms and distances in Å follow each position.
Space group I-4m2 (No. 119)
Inequivalent atoms, fractional coordinates:
Ta1 0.0000 0.0000 0.0000 (multiplicity 2)  4 Ag 2.87, 8 Au 2.87-3.05
Ag1 0.0000 0.5000 0.7500 (multiplicity 2)  4 Ta 2.87, 8 Au 2.87-3.05
Au1 0.0000 0.0000 0.5000 (multiplicity 2)  4 Ag 2.87, 4 Au 2.87, 4 Ta 3.05
Au2 0.0000 0.5000 0.2500 (multiplicity 2)  4 Ta 2.87, 4 Au 2.87, 4 Ag 3.05


Question: The highest calculated total energy belongs to which entry?
Answer: TaAgAu2